[1]
# MnGeRu2

A geometry-optimized MnGeRu2 structure (PBE, Alexandria via LeMat-Bulk).

Summary:
Uncorrected energy ... -33.26 eV per cell
Total magnetization ... 3.06 Bohr magnetons per cell
Formation energy ... -0.23 eV/atom

abc: 3.029 4.237 4.237
angles: 90.00 90.00 90.00
Atoms (fractional coordinates):
1 Ru 0.000 0.000 0.500
2 Ru 0.000 0.500 0.000
3 Ge 0.500 0.000 0.000
4 Mn 0.500 0.500 0.500

***

[2]
# Mn3GeRu

A geometry-optimized Mn3GeRu structure (PBE, Alexandria via LeMat-Bulk).

Summary:
Uncorrected energy ... -33.93 eV per cell
Total magnetization ... 0.16 Bohr magnetons per cell
Distance to the lowest polymorph of the same formula ... 334 meV/atom
Formation energy ... 1.49 eV/atom

abc: 4.257 4.257 4.257
angles: 90.00 90.00 90.00
Atoms (fractional coordinates):
1 Mn 0.000 0.500 0.000
2 Mn 0.000 0.000 0.500
3 Mn 0.500 0.000 0.000
4 Ru 0.500 0.500 0.500
5 Ge 0.000 0.000 0.000

***

[3]
# MnGe3Ru4

A geometry-optimized MnGe3Ru4 structure (PBE, Alexandria via LeMat-Bulk).

Summary:
Uncorrected energy ... -62.00 eV per cell
Total magnetization ... 3.28 Bohr magnetons per cell
Formation energy ... -0.23 eV/atom

abc: 4.278 4.277 6.757
angles: 108.23 108.45 90.00
Atoms (fractional coordinates):
1 Ge 0.745 0.244 0.491
2 Ge 0.000 0.500 0.000
3 Ge 0.255 0.756 0.509
4 Ru 0.126 0.124 0.252
5 Ru 0.626 0.624 0.252
6 Ru 0.874 0.876 0.748
7 Ru 0.374 0.376 0.748
8 Mn 0.500 0.000 0.000

***

[4]
# MnGeRu

A geometry-optimized MnGeRu structure (PBE, Alexandria via LeMat-Bulk).

Summary:
Uncorrected energy ... -23.11 eV per cell
Total magnetization ... 3.44 Bohr magnetons per cell
Formation energy ... -0.02 eV/atom

abc: 3.050 3.050 4.990
angles: 107.79 107.79 90.00
Atoms (fractional coordinates):
1 Ru 0.626 0.626 0.252
2 Ge 0.279 0.279 0.557
3 Mn 0.945 0.945 0.891